Material: Ca2LaCl
Method: DFT, GGA-PBE
State: relaxed

Lattice parameters (Å, degrees): 7.3023 7.3023 7.3023 143.12 143.12 53.15
Fractional coordinates of all 4 atoms:
1 Cl 0.2500 0.7500 0.5000
2 La 0.7500 0.2500 0.5000
3 Ca 0.5000 0.5000 0.0000
4 Ca 0.0000 0.0000 0.0000

Results
- DFT total energy: -2.972 eV/atom
- E_form (uncorrected): -0.278 eV/atom
- E above lowest polymorph: 532 meV per atom
- M_tot: 0.001 μB/f.u.

Material: Pr5Dy4In
Method: DFT, GGA-PBE
State: relaxed

Lattice parameters (Å, degrees): 6.0393 8.1341 8.1341 82.08 68.21 68.21
Fractional coordinates of all 10 atoms:
1 Dy 0.4592 0.6812 0.3187
2 Dy 0.7780 0.6813 0.6812
3 Dy 0.4592 0.3188 0.6813
4 Dy 0.1405 0.3187 0.3188
5 Pr 0.7637 0.3768 0.0000
6 Pr 0.1404 0.6232 0.0000
7 Pr 0.1404 0.0000 0.6232
8 Pr 0.7636 0.0000 0.3768
9 Pr 0.6722 0.0000 0.0000
10 In 0.1931 0.0000 0.0000

Results
- DFT total energy: -4.358 eV/atom
- E above lowest polymorph: 158 meV per atom
- Energy relative to the elements: 3.4 kcal/mol of atoms
- M_tot: 0.000 μB/f.u.

Material: ZnCoSe2Br
Method: DFT, GGA-PBE
State: relaxed

Lattice parameters (Å, degrees): 4.8605 4.8605 5.2706 90.00 90.00 90.00
Each line ends with the local moment (μB).
Fractional coordinates of all 5 atoms:
1 Co 0.5000 0.5000 0.5000  2.29
2 Br 0.0000 0.0000 0.5000  0.11
3 Se 0.0000 0.5000 0.0000  0.17
4 Se 0.5000 0.0000 0.0000  0.17
5 Zn 0.0000 0.0000 0.0000  0.00

Results
- DFT total energy: -2.687 eV/atom
- E_form (uncorrected): 0.718 eV/atom
- E above lowest polymorph: 433 meV per atom
- M_tot: 3.005 μB/f.u.

Material: Nd2Pu3NpSe6
Method: DFT, GGA-PBE
State: relaxed

Lattice parameters (Å, degrees): 4.1392 7.6120 11.2588 74.10 100.59 90.00
Each line ends with the local moment (μB).
Fractional coordinates of all 12 atoms:
1 Pu 0.5000 0.5000 0.0000  5.01
2 Pu 0.9058 0.7133 0.8116  -5.23
3 Pu 0.0942 0.2867 0.1884  -5.23
4 Se 0.3683 0.9904 0.7366  0.03
5 Se 0.9571 0.2862 0.9143  -0.04
6 Se 0.0429 0.7138 0.0857  -0.04
7 Se 0.6317 0.0096 0.2634  0.03
8 Se 0.2191 0.3267 0.4382  0.03
9 Se 0.7809 0.6733 0.5618  0.03
10 Nd 0.8184 0.2757 0.6369  -0.02
11 Nd 0.1816 0.7243 0.3631  -0.02
12 Np 0.5000 0.0000 0.0000  4.00

Results
- DFT total energy: -8.400 eV/atom
- E_form (uncorrected): -1.202 eV/atom
- M_tot: 1.346 μB/f.u.

Material: CsPdSe2Br
Method: DFT, GGA-PBE
State: relaxed

Lattice parameters (Å, degrees): 5.0723 5.0723 5.6755 90.00 90.00 90.00
Each line ends with the local moment (μB).
Fractional coordinates of all 5 atoms:
1 Cs 0.5000 0.5000 0.5000  0.01
2 Se 0.0000 0.5000 0.0000  0.34
3 Se 0.5000 0.0000 0.0000  0.34
4 Pd 0.0000 0.0000 0.0000  0.23
5 Br 0.0000 0.0000 0.5000  0.05

Results
- DFT total energy: -3.348 eV/atom
- E_form (uncorrected): -0.410 eV/atom
- E above lowest polymorph: 0 meV per atom
- M_tot: 1.398 μB/f.u.

Material: Tm2Al5Co3
Method: DFT, GGA-PBE
State: relaxed

Lattice parameters (Å, degrees): 4.0409 6.6394 12.2614 90.00 99.48 90.00
Fractional coordinates of all 20 atoms:
1 Co 0.6117 0.5330 0.2234
2 Co 0.2320 0.1919 0.4641
3 Co 0.7680 0.6919 0.5359
4 Co 0.3883 0.0330 0.7766
5 Co 0.9546 0.4993 0.9091
6 Co 0.0454 0.9993 0.0909
7 Tm 0.4733 0.7887 0.9465
8 Tm 0.5267 0.2887 0.0535
9 Tm 0.8244 0.2031 0.6488
10 Tm 0.1756 0.7031 0.3512
11 Al 0.7129 0.9994 0.4257
12 Al 0.2871 0.4994 0.5743
13 Al 0.0553 0.6210 0.1107
14 Al 0.1309 0.2354 0.2619
15 Al 0.8691 0.7354 0.7381
16 Al 0.2922 0.8889 0.5844
17 Al 0.7078 0.3889 0.4156
18 Al 0.9447 0.1210 0.8893
19 Al 0.4038 0.4041 0.8077
20 Al 0.5962 0.9041 0.1923

Results
- DFT total energy: -5.357 eV/atom
- Energy relative to the elements: -10.6 kcal/mol of atoms
- M_tot: 0.000 μB/f.u.

Material: La5Lu3H12
Method: DFT, GGA-PBE
State: relaxed

Lattice parameters (Å, degrees): 11.6803 11.6803 11.6803 109.47 109.47 109.47
Fractional coordinates of all 80 atoms:
1 La 0.1250 0.7500 0.3750
2 La 0.2500 0.3750 0.6250
3 La 0.6250 0.7500 0.8750
4 La 0.6250 0.8750 0.2500
5 La 0.3750 0.2500 0.1250
6 La 0.0000 0.5000 0.5000
7 La 0.0000 0.0000 0.5000
8 La 0.5000 0.0000 0.5000
9 La 0.8750 0.6250 0.7500
10 La 0.5000 0.5000 0.0000
11 La 0.2500 0.8750 0.1250
12 La 0.0000 0.5000 0.0000
13 La 0.3750 0.1250 0.7500
14 La 0.0000 0.0000 0.0000
15 La 0.5000 0.0000 0.0000
16 La 0.8750 0.2500 0.6250
17 La 0.1250 0.3750 0.2500
18 La 0.7500 0.1250 0.8750
19 La 0.5000 0.5000 0.5000
20 La 0.7500 0.6250 0.3750
21 H 0.6667 0.5893 0.9355
22 H 0.6538 0.4227 0.5893
23 H 0.5773 0.3462 0.9107
24 H 0.2311 0.5773 0.6667
25 H 0.0893 0.1538 0.4227
26 H 0.3462 0.5773 0.4107
27 H 0.1667 0.4355 0.0893
28 H 0.5645 0.8333 0.4107
29 H 0.6667 0.0773 0.2311
30 H 0.9355 0.8462 0.7689
31 H 0.8333 0.2689 0.4227
32 H 0.5645 0.7311 0.6538
33 H 0.8462 0.9355 0.2689
34 H 0.1538 0.0645 0.7311
35 H 0.2689 0.8333 0.9227
36 H 0.4227 0.7689 0.8333
37 H 0.0773 0.4107 0.8462
38 H 0.4355 0.1667 0.5893
39 H 0.9107 0.8462 0.5773
40 H 0.9227 0.5893 0.1538
41 H 0.3462 0.7689 0.4355
42 H 0.6538 0.2311 0.5645
43 H 0.0773 0.6667 0.7311
44 H 0.5893 0.9227 0.6538
45 H 0.0893 0.9355 0.1667
46 H 0.5893 0.6667 0.4355
47 H 0.1538 0.0893 0.9227
48 H 0.4107 0.0773 0.3462
49 H 0.8333 0.5645 0.9107
50 H 0.7311 0.1667 0.0773
51 H 0.2689 0.4355 0.8462
52 H 0.4227 0.6538 0.0893
53 H 0.9107 0.0645 0.8333
54 H 0.1667 0.7311 0.5773
55 H 0.5773 0.2311 0.1667
56 H 0.3333 0.4107 0.0645
57 H 0.4107 0.3333 0.5645
58 H 0.9227 0.3333 0.2689
59 H 0.0645 0.9107 0.3333
60 H 0.9355 0.0893 0.6667
61 H 0.7311 0.5645 0.1538
62 H 0.8462 0.9107 0.0773
63 H 0.2311 0.6538 0.0645
64 H 0.0645 0.1538 0.2311
65 H 0.3333 0.9227 0.7689
66 H 0.4355 0.2689 0.3462
67 H 0.7689 0.4227 0.3333
68 H 0.7689 0.3462 0.9355
69 Lu 0.7500 0.8750 0.6250
70 Lu 0.1250 0.2500 0.8750
71 Lu 0.8750 0.7500 0.1250
72 Lu 0.3750 0.7500 0.6250
73 Lu 0.7500 0.3750 0.1250
74 Lu 0.6250 0.3750 0.7500
75 Lu 0.2500 0.1250 0.3750
76 Lu 0.2500 0.6250 0.8750
77 Lu 0.6250 0.2500 0.3750
78 Lu 0.8750 0.1250 0.2500
79 Lu 0.1250 0.8750 0.7500
80 Lu 0.3750 0.6250 0.2500

Results
- DFT total energy: -4.319 eV/atom
- M_tot: 0.000 μB/f.u.

Material: Cs3CuGe
Method: DFT, GGA-PBE
State: relaxed

Lattice parameters (Å, degrees): 6.6396 6.6396 6.6396 90.00 90.00 90.00
Each line ends with the local moment (μB).
Fractional coordinates of all 5 atoms:
1 Cs 0.0000 0.0000 0.5000  0.01
2 Cs 0.0000 0.5000 0.0000  0.01
3 Cs 0.5000 0.0000 0.0000  0.01
4 Ge 0.5000 0.5000 0.5000  0.60
5 Cu 0.0000 0.0000 0.0000  0.01

Results
- DFT total energy: -1.796 eV/atom
- E above lowest polymorph: 0 meV per atom
- Energy relative to the elements: 10.6 kcal/mol of atoms
- M_tot: 2.001 μB/f.u.

Material: MnSb2Pt
Method: DFT, GGA-PBE
State: relaxed

Lattice parameters (Å, degrees): 4.0867 3.7894 5.4836 70.30 90.00 90.00
Each line ends with the local moment (μB).
Fractional coordinates of all 4 atoms:
1 Pt 0.5000 0.5346 0.7959  0.02
2 Sb 0.0000 0.9778 0.9123  -0.06
3 Sb 0.5000 0.2733 0.3364  -0.08
4 Mn 0.0000 0.7144 0.4553  3.39

Results
- DFT total energy: -6.028 eV/atom
- E_form (uncorrected): -0.164 eV/atom
- E above lowest polymorph: 0 meV per atom
- M_tot: 3.333 μB/f.u.

Material: Na2AlMoW
Method: DFT, GGA-PBE
State: relaxed

Lattice parameters (Å, degrees): 5.6167 4.5675 5.6167 90.00 90.00 90.00
Fractional coordinates of all 5 atoms:
1 Na 0.5000 0.0000 0.0000
2 Na 0.0000 0.0000 0.5000
3 W 0.0000 0.0000 0.0000
4 Mo 0.0000 0.5000 0.0000
5 Al 0.5000 0.5000 0.5000

Results
- DFT total energy: -4.286 eV/atom
- Energy relative to the elements: 40.3 kcal/mol of atoms
- M_tot: 0.000 μB/f.u.

Material: Tl5InPb2
Method: DFT, GGA-PBE
State: relaxed

Lattice parameters (Å, degrees): 4.8709 6.2086 18.0951 90.00 90.00 113.10
Fractional coordinates of all 16 atoms:
1 Tl 0.3492 0.6985 0.4700
2 Tl 0.9537 0.9074 0.9070
3 Tl 0.6508 0.3015 0.9700
4 Tl 0.0463 0.0926 0.4070
5 Tl 0.5380 0.0759 0.7500
6 Tl 0.6508 0.3015 0.5300
7 Tl 0.4620 0.9241 0.2500
8 Tl 0.0463 0.0926 0.0930
9 Tl 0.3492 0.6985 0.0300
10 Tl 0.9537 0.9074 0.5930
11 Pb 0.7669 0.5338 0.1527
12 Pb 0.2331 0.4662 0.8473
13 Pb 0.2331 0.4662 0.6527
14 Pb 0.7669 0.5338 0.3473
15 In 0.1649 0.3298 0.2500
16 In 0.8351 0.6702 0.7500

Results
- DFT total energy: -2.717 eV/atom
- E above lowest polymorph: 22 meV per atom
- Energy relative to the elements: 0.7 kcal/mol of atoms
- M_tot: 0.000 μB/f.u.

Material: Ga3Ni7Pt2
Method: DFT, GGA-PBE
State: relaxed

Lattice parameters (Å, degrees): 2.7057 4.0186 14.3873 94.34 90.00 90.00
Each line ends with the local moment (μB).
Fractional coordinates of all 12 atoms:
1 Ga 0.5000 0.5000 0.0000  -0.01
2 Ga 0.0000 0.7878 0.6219  0.00
3 Ga 0.0000 0.2122 0.3781  0.00
4 Ni 0.5000 0.1394 0.1536  0.42
5 Ni 0.5000 0.2607 0.5393  0.05
6 Ni 0.0000 0.6347 0.1359  0.15
7 Ni 0.5000 0.7393 0.4607  0.05
8 Ni 0.5000 0.8606 0.8464  0.42
9 Ni 0.0000 0.0000 0.0000  0.13
10 Ni 0.0000 0.3653 0.8641  0.15
11 Pt 0.5000 0.6840 0.2869  0.02
12 Pt 0.5000 0.3160 0.7131  0.02

Results
- DFT total energy: -5.266 eV/atom
- Energy relative to the elements: -3.0 kcal/mol of atoms
- M_tot: 1.321 μB/f.u.